1.
MoP2O6 | PBE with a Hubbard U | optimized geometry

Lattice parameters (Å, degrees): 5.060 6.939 6.939 83.33 78.20 78.20
Last column: magnetic moment on the atom in μB.
Element x y z (fractional)
Mo (0.250, 0.101, 0.899)  1.83
Mo (0.750, 0.899, 0.101)  1.83
P (0.266, 0.619, 0.796)  0.00
P (0.234, 0.204, 0.381)  0.00
P (0.734, 0.381, 0.204)  0.00
P (0.766, 0.796, 0.619)  0.00
O (0.545, 0.651, 0.646)  0.00
O (0.955, 0.354, 0.349)  0.00
O (0.455, 0.349, 0.354)  0.00
O (0.045, 0.646, 0.651)  0.00
O (0.803, 0.883, 0.412)  0.00
O (0.697, 0.588, 0.117)  0.00
O (0.197, 0.117, 0.588)  0.00
O (0.303, 0.412, 0.883)  0.00
O (0.183, 0.783, 0.936)  0.01
O (0.317, 0.064, 0.217)  0.01
O (0.817, 0.217, 0.064)  0.01
O (0.683, 0.936, 0.783)  0.01

Properties
* electronic total energy: -7.105 eV per atom
* SG: C2/c

2.
MoP2O7 | PBE with a Hubbard U | optimized geometry

Lattice parameters (Å, degrees): 6.519 6.547 7.234 91.20 117.06 92.36
Last column: magnetic moment on the atom in μB.
Element x y z (fractional)
Mo (0.909, 0.649, 0.793)  1.90
Mo (0.091, 0.351, 0.207)  1.90
P (0.774, 0.143, 0.713)  0.01
P (0.324, 0.620, 0.655)  0.01
P (0.676, 0.380, 0.345)  0.01
P (0.226, 0.857, 0.287)  0.01
O (0.223, 0.806, 0.504)  0.00
O (0.231, 0.423, 0.520)  0.03
O (0.777, 0.194, 0.496)  0.00
O (0.228, 0.639, 0.814)  0.00
O (0.769, 0.577, 0.480)  0.03
O (0.066, 0.667, 0.136)  -0.01
O (0.078, 0.046, 0.220)  0.00
O (0.412, 0.358, 0.226)  0.00
O (0.588, 0.642, 0.774)  0.00
O (0.546, 0.127, 0.706)  -0.01
O (0.772, 0.361, 0.186)  0.00
O (0.454, 0.873, 0.294)  -0.01
O (0.922, 0.954, 0.780)  0.00
O (0.934, 0.333, 0.864)  -0.01

Properties
* energy relative to the lowest polymorph listed for this composition: 0.101 eV per atom
* SG: P-1

3.
Mo2P3O11 | PBE with a Hubbard U | optimized geometry

Lattice parameters (Å, degrees): 7.526 7.526 9.211 70.49 70.49 72.24
Last column: magnetic moment on the atom in μB.
Element x y z (fractional)
Mo (0.359, 0.883, 0.711)  1.92
Mo (0.631, 0.115, 0.791)  2.73
Mo (0.117, 0.641, 0.289)  1.92
Mo (0.885, 0.369, 0.209)  2.73
P (0.545, 0.671, 0.032)  0.01
P (0.329, 0.455, 0.968)  0.01
P (0.671, 0.543, 0.538)  0.01
P (0.457, 0.329, 0.462)  0.01
P (0.037, 0.963, 0.500)  0.01
P (0.960, 0.040, 0.000)  0.01
O (0.056, 0.773, 0.456)  0.01
O (0.527, 0.839, 0.876)  -0.01
O (0.161, 0.473, 0.124)  -0.01
O (0.620, 0.278, 0.322)  0.01
O (0.278, 0.619, 0.826)  0.03
O (0.840, 0.543, 0.382)  0.01
O (0.138, 0.013, 0.855)  -0.01
O (0.029, 0.132, 0.355)  0.01
O (0.605, 0.743, 0.571)  0.00
O (0.381, 0.722, 0.174)  0.03
O (0.722, 0.380, 0.678)  0.01
O (0.257, 0.395, 0.429)  0.00
O (0.227, 0.944, 0.544)  0.01
O (0.956, 0.224, 0.036)  0.01
O (0.776, 0.044, 0.964)  0.01
O (0.491, 0.509, 0.500)  0.00
O (0.744, 0.620, 0.056)  0.01
O (0.987, 0.862, 0.145)  -0.01
O (0.457, 0.160, 0.618)  0.01
O (0.380, 0.256, 0.944)  0.01
O (0.868, 0.971, 0.645)  0.01
O (0.513, 0.487, 0.000)  0.00

Properties
* electronic total energy: -7.357 eV per atom
* SG: C2

4.
MoPO3 | PBE with a Hubbard U | optimized geometry

Lattice parameters (Å, degrees): 3.919 3.919 3.919 90.00 90.00 90.00
Element x y z (fractional)
P (0.500, 0.500, 0.500)
Mo (0.000, 0.000, 0.000)
O (0.000, 0.500, 0.000)
O (0.000, 0.000, 0.500)
O (0.500, 0.000, 0.000)

Properties
* electronic total energy: -5.847 eV per atom
* DOS at the Fermi energy: 5.22 states/eV/f.u.
* SG: Pm-3m

5.
Mo2PO | PBE with a Hubbard U | optimized geometry

Lattice parameters (Å, degrees): 4.187 4.187 4.187 60.00 60.00 60.00
Last column: magnetic moment on the atom in μB.
Element x y z (fractional)
P (0.500, 0.500, 0.500)  -0.19
Mo (0.250, 0.250, 0.250)  1.53
Mo (0.750, 0.750, 0.750)  1.53
O (0.000, 0.000, 0.000)  -0.14

Properties
* energy relative to the lowest polymorph listed for this composition: 0.237 eV per atom
* DOS at the Fermi energy: 1.62 states/eV/f.u.
* SG: Fm-3m

6.
Mo3PO | PBE with a Hubbard U | optimized geometry

Lattice parameters (Å, degrees): 4.162 4.162 4.162 90.00 90.00 90.00
Last column: magnetic moment on the atom in μB.
Element x y z (fractional)
P (0.500, 0.500, 0.500)  -0.09
Mo (0.000, 0.500, 0.000)  0.91
Mo (0.000, 0.000, 0.500)  1.04
Mo (0.500, 0.000, 0.000)  1.04
O (0.000, 0.000, 0.000)  0.01

Properties
* energy relative to the lowest polymorph listed for this composition: 0.000 eV per atom
* DOS at the Fermi energy: 2.35 states/eV/f.u.
* SG: Pm-3m